## NpPa2Bi (GGA-PBE)

Data for crystalline NpPa2Bi at its relaxed geometry.

Properties
formation enthalpy at 0 K	0.2	eV per formula unit

abc: 4.6514 4.6514 4.6358
angles: 90.00 90.00 90.00
Closest atoms and distances in Å follow each position.
Atoms (fractional coordinates):
Np (0.0000, 0.0000, 0.0000)  8 Pa 3.28, 4 Bi 3.29
Pa (0.0000, 0.5000, 0.5000)  4 Bi 3.28, 4 Np 3.28, 4 Pa 3.29
Pa (0.5000, 0.0000, 0.5000)  4 Bi 3.28, 4 Np 3.28, 4 Pa 3.29
Bi (0.5000, 0.5000, 0.0000)  8 Pa 3.28, 4 Np 3.29

## ZnAgPt2 (GGA-PBE)

Data for crystalline ZnAgPt2 at its relaxed geometry.

Properties
formation enthalpy at 0 K	-0.7	eV per formula unit

abc: 4.5123 4.5123 3.0855
angles: 90.00 90.00 90.00
Closest atoms and distances in Å follow each position.
Atoms (fractional coordinates):
Zn (0.0000, 0.0000, 0.0000)  8 Pt 2.73
Ag (0.5000, 0.5000, 0.0000)  8 Pt 2.73
Pt (0.0000, 0.5000, 0.5000)  4 Zn 2.73, 4 Ag 2.73
Pt (0.5000, 0.0000, 0.5000)  4 Zn 2.73, 4 Ag 2.73

## Li4PmY3Te8 (GGA-PBE)

Data for crystalline Li4PmY3Te8 at its relaxed geometry.

Properties
raw formation energy	-1.304	eV per atom

abc: 8.6875 8.6875 8.6875
angles: 60.36 60.36 60.36
Closest atoms and distances in Å follow each position.
Atoms (fractional coordinates):
Li (0.0000, 0.0000, 0.0000)  6 Te 3.02
Li (0.0000, 0.5000, 0.5000)  6 Te 3.06-3.07
Li (0.5000, 0.0000, 0.5000)  6 Te 3.06-3.07
Li (0.5000, 0.5000, 0.0000)  6 Te 3.06-3.07
Pm (0.5000, 0.5000, 0.5000)  6 Te 3.14
Y (0.0000, 0.0000, 0.5000)  6 Te 3.10
Y (0.0000, 0.5000, 0.0000)  6 Te 3.10
Y (0.5000, 0.0000, 0.0000)  6 Te 3.10
Te (0.2450, 0.2450, 0.7524)  3 Li 3.02-3.07, 2 Y 3.10, 1 Pm 3.14
Te (0.2450, 0.7524, 0.2450)  3 Li 3.02-3.07, 2 Y 3.10, 1 Pm 3.14
Te (0.2476, 0.7550, 0.7550)  3 Li 3.02-3.07, 2 Y 3.10, 1 Pm 3.14
Te (0.2516, 0.2516, 0.2516)  3 Li 3.06, 3 Y 3.10
Te (0.7484, 0.7484, 0.7484)  3 Li 3.06, 3 Y 3.10
Te (0.7524, 0.2450, 0.2450)  3 Li 3.02-3.07, 2 Y 3.10, 1 Pm 3.14
Te (0.7550, 0.2476, 0.7550)  3 Li 3.02-3.07, 2 Y 3.10, 1 Pm 3.14
Te (0.7550, 0.7550, 0.2476)  3 Li 3.02-3.07, 2 Y 3.10, 1 Pm 3.14

## AlSbCl2 (GGA-PBE)

Data for crystalline AlSbCl2 at its relaxed geometry.

Properties
raw formation energy	-0.220	eV per atom

abc: 3.1450 3.1450 10.9217
angles: 90.00 90.00 90.00
Closest atoms and distances in Å follow each position.
Atoms (fractional coordinates):
Al (0.0000, 0.0000, 0.0000)  8 Cl 2.71
Sb (0.0000, 0.0000, 0.5000)  4 Sb 3.15
Cl (0.5000, 0.5000, 0.1415)  4 Al 2.71
Cl (0.5000, 0.5000, 0.8585)  4 Al 2.71

## Cs2SrHgSb2 (GGA-PBE)

Data for crystalline Cs2SrHgSb2 at its relaxed geometry.

Properties
raw formation energy	-0.553	eV per atom

abc: 10.3545 10.3545 10.3545
angles: 137.29 63.27 135.65
Closest atoms and distances in Å follow each position.
Atoms (fractional coordinates):
Cs (0.1754, 0.2297, 0.4051)  4 Sb 3.73-4.16, 2 Hg 4.05
Cs (0.3246, 0.7297, 0.0543)  4 Sb 3.73-4.16, 2 Hg 4.05
Cs (0.6754, 0.2703, 0.9457)  4 Sb 3.73-4.16, 2 Hg 4.05
Cs (0.8246, 0.7703, 0.5949)  4 Sb 3.73-4.16, 2 Hg 4.05
Sr (0.2500, 0.7500, 0.5000)  4 Sb 3.29
Sr (0.7500, 0.2500, 0.5000)  4 Sb 3.29
Hg (0.2500, 0.2500, 0.0000)  4 Sb 3.08
Hg (0.7500, 0.7500, 0.0000)  4 Sb 3.08
Sb (0.0941, 0.7737, 0.8678)  2 Hg 3.08, 2 Sr 3.29
Sb (0.4059, 0.2737, 0.6796)  2 Hg 3.08, 2 Sr 3.29
Sb (0.5941, 0.7263, 0.3204)  2 Hg 3.08, 2 Sr 3.29
Sb (0.9059, 0.2263, 0.1322)  2 Hg 3.08, 2 Sr 3.29

## TaCuAg2 (GGA-PBE)

Data for crystalline TaCuAg2 at its relaxed geometry.

Properties
formation enthalpy at 0 K	1.8	eV per formula unit

abc: 4.5281 4.5281 4.5281
angles: 60.00 60.00 60.00
Closest atoms and distances in Å follow each position.
Atoms (fractional coordinates):
Ta (0.0000, 0.0000, 0.0000)  8 Ag 2.77
Cu (0.5000, 0.5000, 0.5000)  8 Ag 2.77
Ag (0.2500, 0.2500, 0.2500)  4 Ta 2.77, 4 Cu 2.77
Ag (0.7500, 0.7500, 0.7500)  4 Cu 2.77, 4 Ta 2.77

## NaCdCu2Br6 (GGA-PBE)

Data for crystalline NaCdCu2Br6 at its relaxed geometry.

Properties
raw formation energy	-0.683	eV per atom

abc: 9.1043 9.1043 7.0326
angles: 97.62 97.62 87.83
Closest atoms and distances in Å follow each position.
Atoms (fractional coordinates):
Na (0.0888, 0.9112, 0.7500)  6 Br 2.93-3.01
Na (0.9112, 0.0888, 0.2500)  6 Br 2.93-3.01
Cd (0.2700, 0.7300, 0.2500)  6 Br 2.71-2.91
Cd (0.7300, 0.2700, 0.7500)  6 Br 2.71-2.91
Cu (0.2284, 0.3995, 0.7042)  4 Br 2.42-2.47
Cu (0.3995, 0.2284, 0.2042)  4 Br 2.42-2.47
Cu (0.6005, 0.7716, 0.7958)  4 Br 2.42-2.47
Cu (0.7716, 0.6005, 0.2958)  4 Br 2.42-2.47
Br (0.0267, 0.2191, 0.6428)  1 Cu 2.47
Br (0.1397, 0.6185, 0.8929)  1 Cu 2.42
Br (0.2191, 0.0267, 0.1428)  1 Cu 2.47
Br (0.2871, 0.4407, 0.3870)  2 Cu 2.44
Br (0.3815, 0.8603, 0.6071)  1 Cu 2.42
Br (0.4407, 0.2871, 0.8870)  2 Cu 2.44
Br (0.5593, 0.7129, 0.1130)  2 Cu 2.44
Br (0.6185, 0.1397, 0.3929)  1 Cu 2.42
Br (0.7129, 0.5593, 0.6130)  2 Cu 2.44
Br (0.7809, 0.9733, 0.8572)  1 Cu 2.47
Br (0.8603, 0.3815, 0.1071)  1 Cu 2.42
Br (0.9733, 0.7809, 0.3572)  1 Cu 2.47

## K4SrCe3Se8 (GGA-PBE)

Data for crystalline K4SrCe3Se8 at its relaxed geometry.

Properties
raw formation energy	-1.700	eV per atom

abc: 8.7961 8.7961 9.1788
angles: 118.66 118.66 60.01
Closest atoms and distances in Å follow each position.
Atoms (fractional coordinates):
K (0.0000, 0.0000, 0.0000)  6 Se 3.38-3.42
K (0.0000, 0.5000, 0.0000)  6 Se 3.38-3.42
K (0.5000, 0.0000, 0.0000)  6 Se 3.38-3.42
K (0.5000, 0.5000, 0.0000)  6 Se 3.29
Sr (0.0000, 0.0000, 0.5000)  6 Se 3.10
Ce (0.0000, 0.5000, 0.5000)  6 Se 2.95-2.99
Ce (0.5000, 0.0000, 0.5000)  6 Se 2.95-2.99
Ce (0.5000, 0.5000, 0.5000)  6 Se 2.95-2.99
Se (0.2440, 0.2440, 0.7091)  2 Ce 2.95, 1 Sr 3.10, 1 K 3.29
Se (0.2440, 0.7212, 0.7090)  2 Ce 2.95, 1 Sr 3.10, 1 K 3.29
Se (0.2641, 0.2641, 0.2923)  3 Ce 2.99
Se (0.2788, 0.7560, 0.2910)  2 Ce 2.95, 1 Sr 3.10, 1 K 3.29
Se (0.7212, 0.2440, 0.7090)  2 Ce 2.95, 1 Sr 3.10, 1 K 3.29
Se (0.7359, 0.7359, 0.7077)  3 Ce 2.99
Se (0.7560, 0.2788, 0.2910)  2 Ce 2.95, 1 Sr 3.10, 1 K 3.29
Se (0.7560, 0.7560, 0.2909)  2 Ce 2.95, 1 Sr 3.10, 1 K 3.29

## CsPaPd2S4 (GGA-PBE)

Data for crystalline CsPaPd2S4 at its relaxed geometry.

Properties
raw formation energy	-0.777	eV per atom

abc: 6.5642 6.5642 6.5642
angles: 119.36 119.15 91.29
Closest atoms and distances in Å follow each position.
Atoms (fractional coordinates):
Cs (0.0000, 0.0000, 0.0000)  8 S 3.30-3.42
Pa (0.5000, 0.5000, 0.0000)  4 S 2.57
Pd (0.2510, 0.7510, 0.5000)  4 S 2.45-2.46
Pd (0.7490, 0.2490, 0.5000)  4 S 2.45-2.46
S (0.1088, 0.1092, 0.5977)  2 Pd 2.45-2.46, 1 Pa 2.57
S (0.4885, 0.8908, 0.9995)  2 Pd 2.45-2.46, 1 Pa 2.57
S (0.5115, 0.5111, 0.4023)  2 Pd 2.45-2.46, 1 Pa 2.57
S (0.8912, 0.4889, 0.0005)  2 Pd 2.45-2.46, 1 Pa 2.57

## Al2ReMo (GGA-PBE)

Data for crystalline Al2ReMo at its relaxed geometry.

Properties
formation enthalpy at 0 K	-0.4	eV per formula unit

abc: 5.0403 5.0403 2.7330
angles: 99.96 99.96 114.51
Closest atoms and distances in Å follow each position.
Atoms (fractional coordinates):
Al (0.0000, 0.5000, 0.0000)  2 Mo 2.65, 2 Re 2.65, 4 Al 2.73
Al (0.5000, 0.0000, 0.0000)  2 Mo 2.65, 2 Re 2.65, 4 Al 2.73
Re (0.0000, 0.0000, 0.5000)  4 Al 2.65, 2 Mo 2.73, 2 Re 2.73
Mo (0.5000, 0.5000, 0.5000)  4 Al 2.65, 2 Re 2.73, 2 Mo 2.73

## ZrTaNb6 (GGA-PBE)

Data for crystalline ZrTaNb6 at its relaxed geometry.

Properties
formation enthalpy at 0 K	1.6	eV per formula unit

abc: 5.9307 5.9307 5.9307
angles: 110.70 110.70 110.70
Closest atoms and distances in Å follow each position.
Atoms (fractional coordinates):
Zr (0.0000, 0.0000, 0.0000)  2 Ta 2.78, 6 Nb 2.89
Ta (0.5000, 0.5000, 0.5000)  2 Zr 2.78, 6 Nb 2.82
Nb (0.2527, 0.2527, 0.7459)  6 Nb 2.78-3.00, 1 Ta 2.82, 1 Zr 2.89
Nb (0.2527, 0.7459, 0.2527)  6 Nb 2.78-3.00, 1 Ta 2.82, 1 Zr 2.89
Nb (0.2541, 0.7473, 0.7473)  6 Nb 2.78-3.00, 1 Ta 2.82, 1 Zr 2.89
Nb (0.7459, 0.2527, 0.2527)  6 Nb 2.78-3.00, 1 Ta 2.82, 1 Zr 2.89
Nb (0.7473, 0.2541, 0.7473)  6 Nb 2.78-3.00, 1 Ta 2.82, 1 Zr 2.89
Nb (0.7473, 0.7473, 0.2541)  6 Nb 2.78-3.00, 1 Ta 2.82, 1 Zr 2.89

## Zr14ScTi (GGA-PBE)

Data for crystalline Zr14ScTi at its relaxed geometry.

Properties
formation enthalpy at 0 K	0.7	eV per formula unit

abc: 9.7539 6.2300 6.2300
angles: 76.03 90.00 90.00
Closest atoms and distances in Å follow each position.
Atoms (fractional coordinates):
Zr (0.0000, 0.0000, 0.0000)  12 Zr 3.13-3.37
Zr (0.0000, 0.4456, 0.4456)  10 Zr 3.05-3.19
Zr (0.0000, 0.5164, 0.9362)  11 Zr 3.10-3.27
Zr (0.0000, 0.9362, 0.5164)  11 Zr 3.10-3.27
Zr (0.2347, 0.2359, 0.2359)  10 Zr 3.08-3.26, 1 Sc 3.35
Zr (0.2552, 0.2950, 0.7247)  1 Ti 2.98, 9 Zr 3.05-3.32, 1 Sc 3.24
Zr (0.2552, 0.7247, 0.2950)  1 Ti 2.98, 9 Zr 3.05-3.32, 1 Sc 3.24
Zr (0.2680, 0.7828, 0.7828)  1 Ti 3.03, 9 Zr 3.12-3.37, 1 Sc 3.24
Zr (0.5000, 0.0816, 0.5078)  2 Ti 3.06-3.22, 2 Sc 3.11-3.16, 7 Zr 3.11-3.27
Zr (0.5000, 0.5078, 0.0816)  2 Ti 3.06-3.22, 2 Sc 3.11-3.16, 7 Zr 3.11-3.27
Zr (0.7320, 0.7828, 0.7828)  1 Ti 3.03, 9 Zr 3.12-3.37, 1 Sc 3.24
Zr (0.7448, 0.2950, 0.7247)  1 Ti 2.98, 9 Zr 3.05-3.32, 1 Sc 3.24
Zr (0.7448, 0.7247, 0.2950)  1 Ti 2.98, 9 Zr 3.05-3.32, 1 Sc 3.24
Zr (0.7653, 0.2359, 0.2359)  10 Zr 3.08-3.26, 1 Sc 3.35
Sc (0.5000, 0.0191, 0.0191)  12 Zr 3.11-3.35
Ti (0.5000, 0.5778, 0.5778)  10 Zr 2.98-3.22